Entry 1:
VASP calculation (GGA-PBEsol) on BaMnTcH2 after structural relaxation.

a = 4.102 Å, b = 4.102 Å, c = 4.407 Å
α = 90.00°, β = 90.00°, γ = 90.00°
Sites, in units of the cell vectors:
H1 0.000 0.500 0.000
H2 0.500 0.000 0.000
Mn1 0.000 0.000 0.000
Ba1 0.500 0.500 0.500
Tc1 0.000 0.000 0.500

Final energy in eV for the cell shown: -25.9

---

Entry 2:
VASP calculation (GGA-PBEsol) on Cu5Ni after structural relaxation.

a = 2.505 Å, b = 4.105 Å, c = 6.587 Å
α = 90.00°, β = 100.96°, γ = 90.00°
Sites, in units of the cell vectors:
Cu1 0.999 0.000 0.999
Cu2 0.667 0.000 0.334
Cu3 0.335 0.000 0.669
Cu4 0.554 0.500 0.109
Cu5 0.223 0.500 0.447
Ni1 0.888 0.500 0.776

Final energy in eV for the cell shown: -27.7
ΔE_f in eV/atom: 0.017

---

Entry 3:
VASP calculation (GGA-PBEsol) on TlAg2Pb after structural relaxation.

a = 3.407 Å, b = 3.407 Å, c = 7.748 Å
α = 90.00°, β = 90.00°, γ = 90.00°
Sites, in units of the cell vectors:
Pb1 0.000 0.000 0.461
Tl1 0.500 0.500 0.791
Ag1 0.000 0.000 0.033
Ag2 0.500 0.500 0.216

Final energy in eV for the cell shown: -12.9
Relative energy among the computed polymorphs in meV/atom: 5.8
ΔE_f in eV/atom: 0.091

---

Entry 4:
VASP calculation (GGA-PBEsol) on Co4TcAg after structural relaxation.

a = 4.608 Å, b = 4.608 Å, c = 4.608 Å
α = 60.00°, β = 60.00°, γ = 60.00°
Sites, in units of the cell vectors:
Ag1 0.000 0.000 0.000
Co1 0.375 0.375 0.375
Co2 0.375 0.375 0.875
Co3 0.875 0.375 0.375
Co4 0.375 0.875 0.375
Tc1 0.750 0.750 0.750

Final energy in eV for the cell shown: -43.8
ΔE_f in eV/atom: 0.291

---

Entry 5:
VASP calculation (GGA-PBEsol) on BaTcPt2 after structural relaxation.

a = 4.767 Å, b = 4.767 Å, c = 4.767 Å
α = 60.00°, β = 60.00°, γ = 60.00°
Sites, in units of the cell vectors:
Ba1 0.500 0.500 0.500
Pt1 0.000 0.000 0.000
Pt2 0.750 0.750 0.750
Tc1 0.250 0.250 0.250

Final energy in eV for the cell shown: -24.7
Relative energy among the computed polymorphs in meV/atom: 415.4
ΔE_f in eV/atom: 0.648

---

Entry 6:
VASP calculation (GGA-PBEsol) on TaCr2Au after structural relaxation.

a = 4.378 Å, b = 4.378 Å, c = 4.378 Å
α = 60.00°, β = 60.00°, γ = 60.00°
Sites, in units of the cell vectors:
Au1 0.500 0.500 0.500
Cr1 0.000 0.000 0.000
Cr2 0.750 0.750 0.750
Ta1 0.250 0.250 0.250

Final energy in eV for the cell shown: -35.6
ΔE_f in eV/atom: 0.341

---

Entry 7:
VASP calculation (GGA-PBEsol) on BaMnAl2Sn after structural relaxation.

a = 5.200 Å, b = 5.649 Å, c = 5.649 Å
α = 90.00°, β = 90.00°, γ = 90.00°
Sites, in units of the cell vectors:
Al1 0.000 0.000 0.500
Al2 0.000 0.500 0.000
Mn1 0.500 0.000 0.000
Ba1 0.000 0.000 0.000
Sn1 0.500 0.500 0.500

Final energy in eV for the cell shown: -16.0
ΔE_f in eV/atom: 1.667

---

Entry 8:
VASP calculation (GGA-PBEsol) on KGe3Au after structural relaxation.

a = 5.248 Å, b = 5.248 Å, c = 5.248 Å
α = 90.00°, β = 90.00°, γ = 90.00°
Sites, in units of the cell vectors:
Ge1 0.000 0.500 0.000
Ge2 0.000 0.000 0.500
Ge3 0.500 0.000 0.000
Au1 0.500 0.500 0.500
K1 0.000 0.000 0.000

Final energy in eV for the cell shown: -10.8
ΔE_f in eV/atom: 1.806

---

Entry 9:
VASP calculation (GGA-PBEsol) on ZrAg4 after structural relaxation.

a = 2.914 Å, b = 2.914 Å, c = 12.049 Å
α = 83.05°, β = 83.05°, γ = 60.00°
Sites, in units of the cell vectors:
Zr1 0.500 0.500 0.500
Ag1 0.903 0.903 0.290
Ag2 0.301 0.301 0.096
Ag3 0.699 0.699 0.904
Ag4 0.097 0.097 0.710

Final energy in eV for the cell shown: -22.3
ΔE_f in eV/atom: 0.011

---

Entry 10:
VASP calculation (GGA-PBEsol) on RbBi3Te after structural relaxation.

a = 5.928 Å, b = 5.928 Å, c = 5.928 Å
α = 90.00°, β = 90.00°, γ = 90.00°
Sites, in units of the cell vectors:
Te1 0.500 0.500 0.500
Bi1 0.000 0.500 0.000
Bi2 0.000 0.000 0.500
Bi3 0.500 0.000 0.000
Rb1 0.000 0.000 0.000

Final energy in eV for the cell shown: -10.4
Relative energy among the computed polymorphs in meV/atom: 1097.1
Formation energy without anion corrections in meV per atom: 1401

---

Entry 11:
VASP calculation (GGA-PBEsol) on TeP2Au after structural relaxation.

a = 5.823 Å, b = 5.823 Å, c = 7.138 Å
α = 114.07°, β = 114.07°, γ = 90.00°
Sites, in units of the cell vectors:
P1 0.332 0.875 0.250
P2 0.918 0.375 0.250
P3 0.125 0.082 0.750
P4 0.625 0.668 0.750
Te1 0.750 0.250 0.500
Te2 0.500 0.500 0.000
Au1 0.250 0.750 0.500
Au2 0.000 0.000 0.000

Final energy in eV for the cell shown: -35.0
Formation energy without anion corrections in meV per atom: 381

---

Entry 12:
VASP calculation (GGA-PBEsol) on Pd2RuBrCl after structural relaxation.

a = 4.603 Å, b = 4.603 Å, c = 5.193 Å
α = 90.00°, β = 90.00°, γ = 90.00°
Sites, in units of the cell vectors:
Ru1 0.500 0.500 0.500
Br1 0.000 0.000 0.000
Pd1 0.000 0.500 0.000
Pd2 0.500 0.000 0.000
Cl1 0.000 0.000 0.500

Final energy in eV for the cell shown: -18.9
Formation energy without anion corrections in meV per atom: 1421

---

The density of states at the Fermi level results, record by record, are as follows: 0.83, 0.50, 0.42, 1.17, 0.99, 1.18, 0.82, 0.41, 0.34, 1.68, 0.71, 1.26 states/eV per atom.